No. 1
Density functional theory data (PBE) for a geometry-optimized CaTl2Pt structure.

Output
* volume: 95 Å³/cell
* energy of formation from the pure elements: -1.00 eV/f.u.

abc: 3.6071 3.6071 7.3009
angles: 90.00 90.00 90.00
Space group P4/mmm (No. 123)
Asymmetric unit:
Ca 0.0000 0.0000 0.0000 x1
Tl 0.5000 0.5000 0.2881 x2
Pt 0.0000 0.0000 0.5000 x1

No. 2
Density functional theory data (PBE) for a geometry-optimized CsPaSe3Br structure.

Output
* volume: 762 Å³/cell
* raw formation energy: -1197 meV/atom

abc: 5.3649 5.8089 24.4588
angles: 90.00 90.00 90.00
Space group Imma (No. 74)
Asymmetric unit:
Cs 0.0000 0.2500 0.0622 x4
Pa 0.0000 0.2500 0.6860 x4
Se 0.0000 0.0167 0.7949 x8
Se 0.0000 0.2500 0.5771 x4
Br 0.0000 0.2500 0.3437 x4

No. 3
Density functional theory data (PBE) for a geometry-optimized BaLaPb structure.

Output
* volume: 495 Å³/cell
* energy of formation from the pure elements: -1.50 eV/f.u.

abc: 5.1226 5.1226 18.8748
angles: 90.00 90.00 90.00
Space group I4/mmm (No. 139)
Asymmetric unit:
Ba 0.0000 0.0000 0.1791 x4
La 0.0000 0.5000 0.0000 x4
Pb 0.0000 0.0000 0.3773 x4

No. 4
Density functional theory data (PBE) for a geometry-optimized MgCoAu4 structure.

Output
* volume: 456 Å³/cell
* energy of formation from the pure elements: 1.03 eV/f.u.

abc: 7.6994 7.6994 7.6994
angles: 90.00 90.00 90.00
Space group F-43m (No. 216)
Asymmetric unit:
Mg 0.0000 0.0000 0.0000 x4
Co 0.2500 0.2500 0.7500 x4
Au 0.1249 0.1249 0.3751 x16

No. 5
Density functional theory data (PBE) for a geometry-optimized SrAl2Os2 structure.

Output
* volume: 173 Å³/cell
* energy of formation from the pure elements: -0.17 eV/f.u.

abc: 7.8730 7.8730 2.7863
angles: 90.00 90.00 90.00
Space group P4/mbm (No. 127)
Asymmetric unit:
Sr 0.0000 0.0000 0.0000 x2
Al 0.1408 0.3592 0.5000 x4
Os 0.1497 0.6497 0.0000 x4

No. 6
Density functional theory data (PBE) for a geometry-optimized ScNi2P structure.

Output
* volume: 243 Å³/cell
* energy of formation from the pure elements: -1.87 eV/f.u.

abc: 3.9781 3.9781 15.3743
angles: 90.00 90.00 90.00
Space group I-42d (No. 122)
Asymmetric unit:
Sc 0.0000 0.0000 0.0000 x4
Ni 0.1597 0.2500 0.6250 x8
P 0.0000 0.0000 0.5000 x4

No. 7
Density functional theory data (PBE) for a geometry-optimized ScTa2B structure.

Output
* volume: 274 Å³/cell
* energy of formation from the pure elements: 1.13 eV/f.u.

abc: 7.4639 7.4639 4.9238
angles: 90.00 90.00 90.00
Space group I-42d (No. 122)
Asymmetric unit:
Sc 0.0000 0.0000 0.0000 x4
Ta 0.1543 0.2500 0.6250 x8
B 0.0000 0.0000 0.5000 x4

No. 8
Density functional theory data (PBE) for a geometry-optimized CeMg2Au structure.

Output
* volume: 364 Å³/cell
* energy of formation from the pure elements: -1.38 eV/f.u.

abc: 7.1371 7.1371 7.1371
angles: 90.00 90.00 90.00
Space group F-43m (No. 216)
Asymmetric unit:
Ce 0.0000 0.0000 0.0000 x4
Mg 0.0000 0.0000 0.5000 x4
Mg 0.2500 0.2500 0.7500 x4
Au 0.2500 0.2500 0.2500 x4

| no. | ρ (Mg/m³) | total magnetization (μB per cell) |
| --- | --- | --- |
| 1 | 11.3 | 0.0 |
| 2 | 5.9 | 0.0 |
| 3 | 6.5 | 0.0 |
| 4 | 12.7 | 6.5 |
| 5 | 10.0 | 0.0 |
| 6 | 5.3 | 0.0 |
| 7 | 10.1 | 0.0 |
| 8 | 7.0 | 2.7 |